No. 1
{
  "formula": "ErTiCu2",
  "functional": "PBE",
  "state": "optimized geometry",
  "vol_a3_per_cell": 69.2,
  "magmom_total_mub_per_atom": 0.25,
  "ef_ev_per_atom": -0.11,
  "de_polymorph_kj_per_mol_fu": 0.0,
  "cell": [[-1.950, -1.443, 2.159], [2.553, -0.576, 1.921], [-0.951, 5.764, 2.993]],
  "species": ["Ti", "Cu", "Cu", "Er"],
  "fractional_positions": [[0.500, 0.500, 0.000], [0.000, 0.000, 0.793], [0.000, 0.000, 0.207], [0.500, 0.500, 0.500]]
}

=====

No. 2
{
  "formula": "Tb3SiGe",
  "functional": "PBE",
  "state": "optimized geometry",
  "vol_a3_per_cell": 547.7,
  "magmom_total_mub_per_atom": 0.00,
  "formation_energy_uncorrected_mev_per_atom": -537,
  "cell": [[6.116, 0.000, 0.000], [0.000, 9.992, -0.688], [0.000, -3.871, 9.229]],
  "species": ["Tb", "Tb", "Tb", "Tb", "Tb", "Tb", "Tb", "Tb", "Tb", "Tb", "Tb", "Tb", "Si", "Si", "Si", "Si", "Ge", "Ge", "Ge", "Ge"],
  "fractional_positions": [[0.000, 0.250, 0.250], [0.000, 0.750, 0.750], [0.500, 0.250, 0.250], [0.500, 0.750, 0.750], [0.250, 0.610, 0.390], [0.750, 0.390, 0.610], [0.750, 0.890, 0.110], [0.250, 0.110, 0.890], [0.750, 0.929, 0.570], [0.250, 0.071, 0.430], [0.250, 0.571, 0.930], [0.750, 0.429, 0.070], [0.250, 0.404, 0.095], [0.750, 0.596, 0.905], [0.750, 0.096, 0.405], [0.250, 0.904, 0.595], [0.750, 0.575, 0.425], [0.250, 0.425, 0.575], [0.250, 0.925, 0.075], [0.750, 0.075, 0.925]]
}

=====

No. 3
{
  "formula": "AgPtPb2",
  "functional": "PBE",
  "state": "optimized geometry",
  "vol_a3_per_cell": 92.4,
  "magmom_total_mub_per_atom": 0.00,
  "ef_ev_per_atom": -0.04,
  "de_polymorph_kj_per_mol_fu": 0.0,
  "cell": [[-1.302, 2.652, 3.221], [-1.973, -2.891, 1.582], [3.432, -2.868, 3.749]],
  "species": ["Pb", "Pb", "Ag", "Pt"],
  "fractional_positions": [[0.000, 0.982, 0.915], [0.500, 0.268, 0.338], [0.500, 0.546, 0.788], [0.000, 0.705, 0.459]]
}

=====

No. 4
{
  "formula": "Sr3Zn2In6Sn",
  "functional": "PBE",
  "state": "optimized geometry",
  "vol_a3_per_cell": 365.8,
  "magmom_total_mub_per_atom": 0.00,
  "ef_ev_per_atom": -0.14,
  "cell": [[6.190, 0.000, 0.000], [-3.095, 5.360, 0.000], [0.000, 0.000, 11.027]],
  "species": ["Sr", "Sr", "Sr", "Zn", "Zn", "In", "In", "In", "In", "In", "In", "Sn"],
  "fractional_positions": [[0.333, 0.667, 0.582], [0.667, 0.333, 0.418], [0.000, 0.000, 0.000], [0.667, 0.333, 0.021], [0.333, 0.667, 0.979], [0.661, 0.831, 0.261], [0.169, 0.339, 0.261], [0.169, 0.831, 0.261], [0.831, 0.661, 0.739], [0.339, 0.169, 0.739], [0.831, 0.169, 0.739], [0.000, 0.000, 0.500]]
}

=====

No. 5
{
  "formula": "NaSnCl6",
  "functional": "PBE",
  "state": "optimized geometry",
  "vol_a3_per_cell": 256.5,
  "magmom_total_mub_per_atom": 0.12,
  "formation_energy_uncorrected_mev_per_atom": -925,
  "cell": [[7.001, 0.298, 0.000], [2.034, 6.206, 0.000], [1.017, 3.103, 5.986]],
  "species": ["Na", "Sn", "Cl", "Cl", "Cl", "Cl", "Cl", "Cl"],
  "fractional_positions": [[0.000, 0.000, 0.000], [0.500, 0.500, 0.000], [0.747, 0.460, 0.714], [0.747, 0.174, 0.286], [0.253, 0.826, 0.714], [0.253, 0.540, 0.286], [0.652, 0.812, 0.000], [0.348, 0.188, 0.000]]
}

=====

No. 6
{
  "formula": "LiTmF4",
  "functional": "PBE",
  "state": "optimized geometry",
  "vol_a3_per_cell": 157.1,
  "magmom_total_mub_per_atom": 0.00,
  "formation_energy_uncorrected_mev_per_atom": -3783,
  "cell": [[-0.936, 4.544, -3.630], [-3.151, 0.468, 4.955], [1.624, 4.941, 2.765]],
  "species": ["Li", "Li", "Tm", "Tm", "F", "F", "F", "F", "F", "F", "F", "F"],
  "fractional_positions": [[0.625, 0.875, 0.750], [0.375, 0.125, 0.250], [0.875, 0.625, 0.250], [0.125, 0.375, 0.750], [0.238, 0.673, 0.936], [0.609, 0.673, 0.564], [0.173, 0.109, 0.064], [0.762, 0.327, 0.064], [0.173, 0.738, 0.436], [0.827, 0.891, 0.936], [0.391, 0.327, 0.436], [0.827, 0.262, 0.564]]
}

=====

No. 7
{
  "formula": "AuBrO",
  "functional": "PBE",
  "state": "optimized geometry",
  "vol_a3_per_cell": 75.6,
  "magmom_total_mub_per_atom": 0.00,
  "formation_energy_uncorrected_mev_per_atom": 160,
  "de_polymorph_kj_per_mol_fu": 21.4,
  "cell": [[-1.108, -0.345, 3.021], [3.917, -3.105, -0.168], [1.808, 4.745, 0.684]],
  "species": ["Au", "Br", "O"],
  "fractional_positions": [[0.306, 0.882, 0.841], [0.976, 0.222, 0.157], [0.689, 0.646, 0.628]]
}

=====

No. 8
{
  "formula": "Ho2GaCo2",
  "functional": "PBE",
  "state": "optimized geometry",
  "vol_a3_per_cell": 181.4,
  "magmom_total_mub_per_atom": 0.10,
  "ef_ev_per_atom": -0.43,
  "cell": [[-1.580, 2.151, 4.610], [0.443, -5.335, -0.437], [7.090, 2.104, 1.448]],
  "species": ["Ho", "Ho", "Ho", "Ho", "Ga", "Ga", "Co", "Co", "Co", "Co"],
  "fractional_positions": [[0.496, 0.292, 0.146], [0.204, 0.708, 0.354], [0.504, 0.708, 0.854], [0.796, 0.292, 0.646], [0.867, 0.000, 0.250], [0.133, 0.000, 0.750], [0.709, 0.713, 0.494], [0.995, 0.287, 0.006], [0.291, 0.287, 0.506], [0.005, 0.713, 0.994]]
}